## P
Computed, not measured: an optimized crystal structure of RbVRe2 at the PBE level of DFT.

Results
- total magnetic moment (μB/cell) = 0.663

abc: 5.0405 5.0405 9.1486
angles: 74.01 74.01 90.00
Last column: nearest neighbours and their distance in Å.
Element x y z (fractional)
Rb 0.7500 0.2500 0.5000  8 Re 3.52, 4 V 3.56
Rb 0.0000 0.0000 0.0000  8 Re 3.52, 4 V 3.56
Re 0.8750 0.6250 0.7500  2 V 2.45, 2 Re 2.52
Re 0.3750 0.6250 0.7500  2 V 2.45, 2 Re 2.52
Re 0.3750 0.6250 0.2500  2 V 2.45, 2 Re 2.52
Re 0.3750 0.1250 0.2500  2 V 2.45, 2 Re 2.52
V 0.2500 0.7500 0.5000  4 Re 2.45
V 0.5000 0.5000 0.0000  4 Re 2.45

=====

## Q
Computed, not measured: an optimized crystal structure of RbVRe2 at the PBE level of DFT.

Results
- total magnetic moment (μB/cell) = 0.000

abc: 4.5906 4.5906 4.5906
angles: 60.00 60.00 60.00
Last column: nearest neighbours and their distance in Å.
Element x y z (fractional)
Rb 0.5000 0.5000 0.5000  8 Re 2.81
V 0.0000 0.0000 0.0000  8 Re 2.81
Re 0.7500 0.7500 0.7500  4 Rb 2.81, 4 V 2.81
Re 0.2500 0.2500 0.2500  4 Rb 2.81, 4 V 2.81

=====

Which of them is least stable? Easy: Q.